LaCoB5O10: relaxed, GGA+U.

Results
Total magnetization   3.0 μB/f.u.
Electronic total energy   -540.88 eV for the cell shown

Cell: 8.750 7.603 12.627 Å, 90.00 131.13 90.00°
Fractional coordinates of all 68 atoms:
B1 0.657 0.407 0.006
B2 0.769 0.964 0.052
B3 0.012 0.185 0.085
B4 0.594 0.173 0.110
B5 0.144 0.918 0.234
B6 0.856 0.418 0.266
B7 0.406 0.673 0.390
B8 0.988 0.685 0.415
B9 0.231 0.464 0.448
B10 0.343 0.907 0.494
B11 0.657 0.093 0.506
B12 0.769 0.536 0.552
B13 0.012 0.315 0.585
B14 0.594 0.327 0.610
B15 0.144 0.582 0.734
B16 0.856 0.082 0.766
B17 0.406 0.827 0.890
B18 0.988 0.815 0.915
B19 0.231 0.036 0.948
B20 0.343 0.593 0.994
Co1 0.026 0.589 0.126
Co2 0.974 0.089 0.374
Co3 0.026 0.911 0.626
Co4 0.974 0.411 0.874
La1 0.555 0.816 0.234
La2 0.445 0.316 0.266
La3 0.555 0.684 0.734
La4 0.445 0.184 0.766
O1 0.471 0.719 0.009
O2 0.818 0.126 0.010
O3 0.062 0.347 0.067
O4 0.413 0.110 0.085
O5 0.381 0.540 0.112
O6 0.941 0.846 0.129
O7 0.822 0.466 0.137
O8 0.725 0.020 0.143
O9 0.175 0.081 0.187
O10 0.717 0.279 0.241
O11 0.283 0.779 0.259
O12 0.825 0.581 0.313
O13 0.275 0.520 0.357
O14 0.178 0.966 0.363
O15 0.059 0.346 0.371
O16 0.619 0.040 0.388
O17 0.587 0.610 0.415
O18 0.938 0.847 0.433
O19 0.182 0.626 0.490
O20 0.529 0.219 0.491
O21 0.471 0.781 0.509
O22 0.818 0.374 0.510
O23 0.062 0.153 0.567
O24 0.413 0.390 0.585
O25 0.381 0.960 0.612
O26 0.941 0.654 0.629
O27 0.822 0.034 0.637
O28 0.725 0.480 0.643
O29 0.175 0.419 0.687
O30 0.717 0.221 0.741
O31 0.283 0.721 0.759
O32 0.825 0.919 0.813
O33 0.275 0.980 0.857
O34 0.178 0.534 0.863
O35 0.059 0.154 0.871
O36 0.619 0.460 0.888
O37 0.587 0.890 0.915
O38 0.938 0.653 0.933
O39 0.182 0.874 0.990
O40 0.529 0.281 0.991